## Li2Dy5Tl5 (PBE-GGA)

Data for an optimized crystal structure of Li2Dy5Tl5.

Calculated values
DOS(E_F) = 0.889 states/eV/atom
symmetry = C2/m (12)

a = 5.037 Å, b = 5.004 Å, c = 14.832 Å
α = 99.71°, β = 90.00°, γ = 120.22°
Atoms (fractional coordinates):
Dy (0.500, 0.000, 0.500)
Dy (0.773, 0.546, 0.328)
Dy (0.306, 0.613, 0.914)
Dy (0.227, 0.454, 0.672)
Dy (0.694, 0.387, 0.086)
Li (0.067, 0.134, 0.209)
Li (0.933, 0.866, 0.791)
Tl (0.601, 0.201, 0.793)
Tl (0.862, 0.725, 0.582)
Tl (0.000, 0.000, 0.000)
Tl (0.399, 0.799, 0.207)
Tl (0.138, 0.275, 0.418)

=====

## LiDy4Tl (PBE-GGA)

Data for an optimized crystal structure of LiDy4Tl.

Calculated values
DOS(E_F) = 1.474 states/eV/atom
symmetry = P4/mmm (123)

a = 5.031 Å, b = 5.032 Å, c = 7.530 Å
α = 89.98°, β = 89.99°, γ = 90.00°
Atoms (fractional coordinates):
Tl (0.501, 0.497, 0.998)
Dy (0.501, 0.997, 0.743)
Dy (0.001, 0.497, 0.743)
Dy (0.001, 0.497, 0.254)
Dy (0.501, 0.997, 0.254)
Li (0.001, 0.997, 0.498)

=====

## Li2DyTl2 (PBE-GGA)

Data for an optimized crystal structure of Li2DyTl2.

Calculated values
DOS(E_F) = 0.593 states/eV/atom
excess energy over the best structure of this formula in the dataset = 0 meV per atom
symmetry = P4/mbm (127)

a = 3.275 Å, b = 8.215 Å, c = 8.215 Å
α = 90.00°, β = 90.00°, γ = 90.00°
Atoms (fractional coordinates):
Li (0.000, 0.384, 0.884)
Li (0.000, 0.616, 0.116)
Li (0.000, 0.884, 0.616)
Li (0.000, 0.116, 0.384)
Tl (0.500, 0.183, 0.683)
Tl (0.500, 0.683, 0.817)
Tl (0.500, 0.317, 0.183)
Tl (0.500, 0.817, 0.317)
Dy (0.000, 0.000, 0.000)
Dy (0.000, 0.500, 0.500)

=====

## LiDyTl6 (PBE-GGA)

Data for an optimized crystal structure of LiDyTl6.

Calculated values
DOS(E_F) = 0.547 states/eV/atom
symmetry = Cmmm (65)

a = 4.824 Å, b = 6.695 Å, c = 6.695 Å
α = 89.91°, β = 90.00°, γ = 90.00°
Atoms (fractional coordinates):
Tl (0.000, 0.748, 0.748)
Tl (0.000, 0.254, 0.746)
Tl (0.500, 0.000, 0.500)
Tl (0.500, 0.500, 0.000)
Tl (0.000, 0.746, 0.254)
Tl (0.000, 0.252, 0.252)
Dy (0.500, 0.000, 0.000)
Li (0.500, 0.500, 0.500)

=====

## Li2Dy2Tl3 (PBE-GGA)

Data for an optimized crystal structure of Li2Dy2Tl3.

Calculated values
DOS(E_F) = 0.649 states/eV/atom
symmetry = Cmmm (65)

a = 3.782 Å, b = 3.518 Å, c = 12.857 Å
α = 90.00°, β = 81.54°, γ = 90.00°
Atoms (fractional coordinates):
Li (0.287, 0.500, 0.427)
Li (0.713, 0.500, 0.573)
Dy (0.420, 0.500, 0.161)
Dy (0.580, 0.500, 0.839)
Tl (0.837, 0.000, 0.327)
Tl (0.163, 0.000, 0.673)
Tl (0.000, 0.000, 0.000)

=====

## Li2DyTl2 (PBE-GGA)

Data for an optimized crystal structure of Li2DyTl2.

Calculated values
DOS(E_F) = 0.471 states/eV/atom
excess energy over the best structure of this formula in the dataset = 10 meV per atom
symmetry = C2/m (12)

a = 5.223 Å, b = 5.223 Å, c = 5.231 Å
α = 70.52°, β = 70.52°, γ = 57.60°
Atoms (fractional coordinates):
Tl (0.245, 0.745, 0.691)
Tl (0.755, 0.255, 0.309)
Dy (0.500, 0.000, 0.000)
Li (0.888, 0.388, 0.737)
Li (0.112, 0.612, 0.263)

=====

no.,energy relative to the elements (eV/atom)
1,-0.271
2,0.245
3,-0.216
4,-0.117
5,-0.240
6,-0.206